w.
A plane-wave DFT calculation with SCAN was carried out for a PBEsol-optimized structure of BaTaRu2. Values from VASP.

Output
N(E_F) = 0.814 states/eV/atom
crystal system = monoclinic

```
&SYSTEM
  ibrav = 0, nat = 4, ntyp = 3
/
ATOMIC_SPECIES
Ba 137.33 Ba.upf
Ta 180.95 Ta.upf
Ru 101.07 Ru.upf
ATOMIC_POSITIONS crystal
Ba 0.0000 0.0000 0.0000
Ta 0.0000 0.0000 0.5000
Ru 0.4873 0.5000 0.3125
Ru 0.5127 0.5000 0.6875
CELL_PARAMETERS angstrom
3.1758 0.0000 0.0000
0.0000 3.1803 0.0000
-0.2463 0.0000 7.7038
```

x.
A plane-wave DFT calculation with SCAN was carried out for a PBEsol-optimized structure of BaTaRu2. Values from VASP.

Output
N(E_F) = 0.989 states/eV/atom
crystal system = tetragonal

```
&SYSTEM
  ibrav = 0, nat = 4, ntyp = 3
/
ATOMIC_SPECIES
Ba 137.33 Ba.upf
Ta 180.95 Ta.upf
Ru 101.07 Ru.upf
ATOMIC_POSITIONS crystal
Ba 0.0000 0.0000 0.0000
Ta 0.5000 0.5000 0.6242
Ru 0.0000 0.0000 0.4829
Ru 0.5000 0.5000 0.3190
CELL_PARAMETERS angstrom
3.3478 0.0000 0.0000
0.0000 3.3478 0.0000
0.0000 0.0000 7.7478
```

y.
A plane-wave DFT calculation with SCAN was carried out for a PBEsol-optimized structure of BaTaRu2. Values from VASP.

Output
N(E_F) = 0.823 states/eV/atom
crystal system = monoclinic

```
&SYSTEM
  ibrav = 0, nat = 4, ntyp = 3
/
ATOMIC_SPECIES
Ba 137.33 Ba.upf
Ta 180.95 Ta.upf
Ru 101.07 Ru.upf
ATOMIC_POSITIONS crystal
Ba 0.0000 0.0000 0.0000
Ta 0.5000 0.5000 0.5000
Ru 0.2279 0.2279 0.6649
Ru 0.7721 0.7721 0.3351
CELL_PARAMETERS angstrom
3.9541 -1.5631 0.0000
3.9541 1.5631 0.0000
-0.8518 0.0000 6.9189
```

Of them, x has the lowest stability.

w.
A plane-wave DFT calculation with SCAN was carried out for a PBEsol-optimized structure of BaTc2Ru. Values from VASP.

Output
N(E_F) = 1.051 states/eV/atom
crystal system = orthorhombic

```
&SYSTEM
  ibrav = 0, nat = 4, ntyp = 3
/
ATOMIC_SPECIES
Ba 137.33 Ba.upf
Tc 98.00 Tc.upf
Ru 101.07 Ru.upf
ATOMIC_POSITIONS crystal
Ba 0.0000 0.0000 0.0000
Tc 0.2866 0.7866 0.5000
Tc 0.7134 0.2134 0.5000
Ru 0.5000 0.5000 0.0000
CELL_PARAMETERS angstrom
-1.4291 2.5424 5.0960
1.4291 -2.5424 5.0960
1.4291 2.5424 -5.0960
```

x.
A plane-wave DFT calculation with SCAN was carried out for a PBEsol-optimized structure of BaTc2Ru. Values from VASP.

Output
N(E_F) = 0.906 states/eV/atom
crystal system = monoclinic

```
&SYSTEM
  ibrav = 0, nat = 4, ntyp = 3
/
ATOMIC_SPECIES
Ba 137.33 Ba.upf
Tc 98.00 Tc.upf
Ru 101.07 Ru.upf
ATOMIC_POSITIONS crystal
Ba 0.0000 0.0000 0.0000
Tc 0.0686 0.0000 0.4973
Tc 0.4982 0.5000 0.6610
Ru 0.5065 0.5000 0.3244
CELL_PARAMETERS angstrom
2.9273 0.0000 0.0000
0.0000 3.4538 0.0000
-0.1704 0.0000 7.6992
```

Of them, w has the lowest stability.

w.
A plane-wave DFT calculation with SCAN was carried out for a PBEsol-optimized structure of BaTcRu2. Values from VASP.

Output
N(E_F) = 1.206 states/eV/atom
crystal system = cubic

```
&SYSTEM
  ibrav = 0, nat = 4, ntyp = 3
/
ATOMIC_SPECIES
Ba 137.33 Ba.upf
Tc 98.00 Tc.upf
Ru 101.07 Ru.upf
ATOMIC_POSITIONS crystal
Ba 0.0000 0.0000 0.0000
Tc 0.5000 0.5000 0.5000
Ru 0.2500 0.2500 0.2500
Ru 0.7500 0.7500 0.7500
CELL_PARAMETERS angstrom
0.0000 3.2826 3.2826
3.2826 0.0000 3.2826
3.2826 3.2826 0.0000
```

x.
A plane-wave DFT calculation with SCAN was carried out for a PBEsol-optimized structure of BaTcRu2. Values from VASP.

Output
N(E_F) = 1.227 states/eV/atom
crystal system = orthorhombic

```
&SYSTEM
  ibrav = 0, nat = 4, ntyp = 3
/
ATOMIC_SPECIES
Ba 137.33 Ba.upf
Tc 98.00 Tc.upf
Ru 101.07 Ru.upf
ATOMIC_POSITIONS crystal
Ba 0.0000 0.0000 0.0000
Tc 0.5000 0.5000 0.6575
Ru 0.0000 0.0000 0.4991
Ru 0.5000 0.5000 0.3239
CELL_PARAMETERS angstrom
2.8468 0.0000 0.0000
0.0000 3.6269 0.0000
0.0000 0.0000 7.4308
```

Of them, w has the lowest stability.

w.
A plane-wave DFT calculation with SCAN was carried out for a PBEsol-optimized structure of BaTlRu2. Values from VASP.

Output
N(E_F) = 1.315 states/eV/atom
crystal system = trigonal

```
&SYSTEM
  ibrav = 0, nat = 4, ntyp = 3
/
ATOMIC_SPECIES
Ba 137.33 Ba.upf
Tl 204.38 Tl.upf
Ru 101.07 Ru.upf
ATOMIC_POSITIONS crystal
Ba 0.0000 0.0000 0.0000
Tl 0.7710 0.7710 0.7710
Ru 0.2422 0.2422 0.2422
Ru 0.5149 0.5149 0.5149
CELL_PARAMETERS angstrom
1.5413 0.8899 10.0368
-1.5413 0.8899 10.0368
0.0000 -1.7798 10.0368
```

x.
A plane-wave DFT calculation with SCAN was carried out for a PBEsol-optimized structure of BaTlRu2. Values from VASP.

Output
N(E_F) = 0.764 states/eV/atom
crystal system = tetragonal

```
&SYSTEM
  ibrav = 0, nat = 4, ntyp = 3
/
ATOMIC_SPECIES
Ba 137.33 Ba.upf
Tl 204.38 Tl.upf
Ru 101.07 Ru.upf
ATOMIC_POSITIONS crystal
Ba 0.0000 0.0000 0.0000
Tl 0.2500 0.7500 0.5000
Ru 0.5000 0.5000 0.0000
Ru 0.7500 0.2500 0.5000
CELL_PARAMETERS angstrom
-2.0221 2.0221 4.9731
2.0221 -2.0221 4.9731
2.0221 2.0221 -4.9731
```

Of them, x has the lowest stability.